[1]
Tm2ScGaC after structural relaxation. Source: Alexandria via LeMat-Bulk, functional PBE-GGA.

abc: 4.501 4.770 4.770
angles: 90.00 90.00 90.00
Positions (direct):
Tm 0.000 0.000 0.500
Tm 0.000 0.500 0.000
Sc 0.500 0.000 0.000
Ga 0.500 0.500 0.500
C 0.000 0.000 0.000

Results
The calculation puts the formation energy at -2.8 eV/f.u. For the density, the calculation gives 7.53 g/cm3. The total magnetization is 0.000 μB/f.u. The value obtained for the density of states at the Fermi level is 0.18 states/eV/atom. The calculation puts the total DFT energy (no corrections) at -30.34 eV/cell.

***

[2]
Mg3MnAu12 after structural relaxation. Source: Alexandria via LeMat-Bulk, functional PBE-GGA.

abc: 4.169 4.169 16.324
angles: 90.00 90.00 90.00
Site moments in Bohr magnetons follow the coordinates.
Positions (direct):
Mg 0.000 0.000 0.249  0.00
Mg 0.000 0.000 0.500  0.00
Mg 0.000 0.000 0.751  0.00
Mn 0.000 0.000 0.000  4.10
Au 0.500 0.500 0.000  0.04
Au 0.500 0.500 0.249  -0.01
Au 0.500 0.500 0.500  -0.01
Au 0.500 0.500 0.751  -0.01
Au 0.500 0.000 0.123  0.02
Au 0.500 0.000 0.374  -0.01
Au 0.500 0.000 0.626  -0.01
Au 0.500 0.000 0.877  0.02
Au 0.000 0.500 0.123  0.02
Au 0.000 0.500 0.374  -0.01
Au 0.000 0.500 0.626  -0.01
Au 0.000 0.500 0.877  0.02

Results
The calculation puts the formation energy at -4.7 eV/f.u. For the density, the calculation gives 14.58 g/cm3. The total magnetization is 4.348 μB/f.u. The value obtained for the density of states at the Fermi level is 0.40 states/eV/atom. The calculation puts the total DFT energy (no corrections) at -58.01 eV/cell.

***

[3]
Cs5Tl4Sn2 after structural relaxation. Source: Alexandria via LeMat-Bulk, functional PBE-GGA.

abc: 7.675 7.807 10.817
angles: 71.68 69.22 60.56
Positions (direct):
Cs 0.171 0.292 0.866
Cs 0.829 0.708 0.134
Cs 0.000 0.500 0.500
Cs 0.671 0.292 0.866
Cs 0.329 0.708 0.134
Tl 0.311 0.897 0.481
Tl 0.689 0.103 0.519
Tl 0.694 0.824 0.788
Tl 0.306 0.176 0.212
Sn 0.207 0.821 0.764
Sn 0.793 0.179 0.236

Results
The calculation puts the formation energy at 0.2 eV/f.u. For the density, the calculation gives 5.49 g/cm3. The total magnetization is 0.000 μB/f.u. The value obtained for the density of states at the Fermi level is 0.50 states/eV/atom. The calculation puts the total DFT energy (no corrections) at -21.58 eV/cell.

***

[4]
KLaCe2Te4 after structural relaxation. Source: Alexandria via LeMat-Bulk, functional PBE-GGA.

abc: 4.554 8.042 8.040
angles: 71.31 90.00 90.00
Site moments in Bohr magnetons follow the coordinates.
Positions (direct):
K 0.500 0.500 0.000  0.00
La 0.000 0.500 0.500  0.00
Ce 0.000 0.000 0.000  1.06
Ce 0.500 0.000 0.500  -0.99
Te 0.000 0.764 0.738  0.01
Te 0.000 0.236 0.262  0.01
Te 0.500 0.757 0.252  -0.01
Te 0.500 0.243 0.748  -0.01

Results
For the density, the calculation gives 5.77 g/cm3. The total magnetization is 0.107 μB/f.u. The value obtained for the formation energy without anion corrections is -1.378 eV/atom. The value obtained for the density of states at the Fermi level is 2.18 states/eV/atom. The calculation puts the total DFT energy (no corrections) at -41.48 eV/cell.

***

[5]
MoRhPb4 after structural relaxation. Source: Alexandria via LeMat-Bulk, functional PBE-GGA.

abc: 6.198 6.198 6.198
angles: 60.00 60.00 60.00
Site moments in Bohr magnetons follow the coordinates.
Positions (direct):
Mo 0.000 0.000 0.000  3.40
Rh 0.750 0.750 0.750  0.46
Pb 0.874 0.375 0.375  -0.02
Pb 0.375 0.375 0.874  -0.02
Pb 0.375 0.874 0.375  -0.02
Pb 0.375 0.375 0.375  -0.02

Results
The calculation puts the formation energy at 6.8 eV/f.u. For the density, the calculation gives 10.14 g/cm3. The total magnetization is 4.525 μB/f.u. The value obtained for the density of states at the Fermi level is 0.53 states/eV/atom. The calculation puts the total DFT energy (no corrections) at -26.23 eV/cell.

***

[6]
ZrSc2Au3 after structural relaxation. Source: Alexandria via LeMat-Bulk, functional PBE-GGA.

abc: 3.334 4.887 14.668
angles: 90.00 90.00 90.00
Positions (direct):
Zr 0.000 0.500 0.500
Zr 0.000 0.000 0.000
Sc 0.000 0.000 0.666
Sc 0.000 0.000 0.334
Sc 0.000 0.500 0.166
Sc 0.000 0.500 0.834
Au 0.500 0.500 0.671
Au 0.499 0.000 0.500
Au 0.500 0.500 0.329
Au 0.500 0.000 0.171
Au 0.501 0.500 0.000
Au 0.500 0.000 0.829

Results
The calculation puts the formation energy at -4.1 eV/f.u. For the density, the calculation gives 10.73 g/cm3. The total magnetization is 0.000 μB/f.u. The value obtained for the density of states at the Fermi level is 0.91 states/eV/atom. The calculation puts the total DFT energy (no corrections) at -70.22 eV/cell.

***

[7]
Be8ZnAs6 after structural relaxation. Source: Alexandria via LeMat-Bulk, functional PBE-GGA.

abc: 6.547 6.547 12.551
angles: 90.00 90.00 120.00
Positions (direct):
Be 0.669 0.669 0.286
Be 0.665 0.665 0.634
Be 0.335 0.335 0.134
Be 0.331 0.331 0.786
Be 0.667 0.333 0.895
Be 0.667 0.333 0.395
Be 0.331 0.000 0.286
Be 0.335 0.000 0.634
Be 0.665 0.000 0.134
Be 0.000 0.669 0.786
Be 0.669 0.000 0.786
Be 0.000 0.665 0.134
Be 0.333 0.667 0.395
Be 0.333 0.667 0.895
Be 0.000 0.335 0.634
Be 0.000 0.331 0.286
Zn 0.000 0.000 0.409
Zn 0.000 0.000 0.909
As 0.637 0.637 0.459
As 0.363 0.363 0.959
As 0.667 0.333 0.705
As 0.000 0.000 0.696
As 0.000 0.000 0.196
As 0.667 0.333 0.205
As 0.363 0.000 0.459
As 0.000 0.637 0.959
As 0.637 0.000 0.959
As 0.333 0.667 0.205
As 0.333 0.667 0.705
As 0.000 0.363 0.459

Results
The calculation puts the formation energy at -0.6 eV/f.u. For the density, the calculation gives 4.18 g/cm3. The total magnetization is 0.000 μB/f.u. The value obtained for the density of states at the Fermi level is 0.02 states/eV/atom. The calculation puts the total DFT energy (no corrections) at -119.22 eV/cell.

***

[8]
NaCo after structural relaxation. Source: Alexandria via LeMat-Bulk, functional PBE-GGA.

abc: 5.622 5.622 5.622
angles: 90.00 90.00 90.00
Site moments in Bohr magnetons follow the coordinates.
Positions (direct):
Na 0.000 0.000 0.000  -0.02
Na 0.000 0.500 0.500  -0.02
Na 0.500 0.000 0.500  -0.02
Na 0.500 0.500 0.000  -0.02
Co 0.500 0.500 0.500  1.98
Co 0.500 0.000 0.000  1.98
Co 0.000 0.500 0.000  1.98
Co 0.000 0.000 0.500  1.98

Results
The calculation puts the formation energy at 3.0 eV/f.u. For the density, the calculation gives 3.06 g/cm3. The total magnetization is 1.839 μB/f.u. The value obtained for the density of states at the Fermi level is 0.68 states/eV/atom. The calculation puts the total DFT energy (no corrections) at -21.80 eV/cell.

***

[9]
AlMo3Pt after structural relaxation. Source: Alexandria via LeMat-Bulk, functional PBE-GGA.

abc: 4.470 4.470 4.470
angles: 90.00 90.00 90.00
Positions (direct):
Mo 0.000 0.500 0.000
Mo 0.000 0.000 0.500
Mo 0.500 0.000 0.000
Al 0.000 0.000 0.000
Pt 0.500 0.500 0.500

Results
The calculation puts the formation energy at 7.0 eV/f.u. For the density, the calculation gives 9.48 g/cm3. The total magnetization is 0.000 μB/f.u. The value obtained for the density of states at the Fermi level is 1.43 states/eV/atom. Its excess energy over the best structure of this formula in the dataset is 0.000 eV/atom. The calculation puts the total DFT energy (no corrections) at -35.28 eV/cell.

***

[10]
Li2NiAgH after structural relaxation. Source: Alexandria via LeMat-Bulk, functional PBE-GGA.

abc: 4.083 4.083 3.373
angles: 90.00 90.00 90.00
Positions (direct):
Ni 0.000 0.000 0.500
H 0.000 0.000 0.000
Ag 0.500 0.500 0.500
Li 0.000 0.500 0.000
Li 0.500 0.000 0.000

Results
For the density, the calculation gives 5.36 g/cm3. The total magnetization is 0.000 μB/f.u. The value obtained for the density of states at the Fermi level is 0.29 states/eV/atom. The calculation puts the total DFT energy (no corrections) at -16.61 eV/cell.

***

[11]
BeIr after structural relaxation. Source: Alexandria via LeMat-Bulk, functional PBE-GGA.

abc: 4.732 4.732 5.764
angles: 69.42 69.42 34.56
Positions (direct):
Be 0.345 0.345 0.852
Be 0.655 0.655 0.148
Be 0.000 0.000 0.000
Ir 0.000 0.000 0.500
Ir 0.325 0.325 0.279
Ir 0.675 0.675 0.721

Results
The calculation puts the formation energy at -0.8 eV/f.u. For the density, the calculation gives 14.72 g/cm3. The total magnetization is 0.000 μB/f.u. The value obtained for the density of states at the Fermi level is 0.37 states/eV/atom. The calculation puts the total DFT energy (no corrections) at -40.13 eV/cell.

***

[12]
CdTeCl after structural relaxation. Source: Alexandria via LeMat-Bulk, functional PBE-GGA.

abc: 5.872 5.872 5.872
angles: 146.92 100.21 89.14
Positions (direct):
Cl 0.292 0.292 0.000
Te 0.695 0.695 0.000
Cd 0.013 0.013 0.000

Results
For the density, the calculation gives 4.34 g/cm3. The total magnetization is 0.001 μB/f.u. The value obtained for the formation energy without anion corrections is -0.226 eV/atom. The value obtained for the density of states at the Fermi level is 0.72 states/eV/atom. Its excess energy over the best structure of this formula in the dataset is 0.261 eV/atom. The calculation puts the total DFT energy (no corrections) at -6.58 eV/cell.

***

[13]
K2FeMo after structural relaxation. Source: Alexandria via LeMat-Bulk, functional PBE-GGA.

abc: 12.437 12.437 9.084
angles: 46.80 46.80 90.00
Site moments in Bohr magnetons follow the coordinates.
Positions (direct):
K 0.450 0.125 0.250  0.01
K 0.300 0.625 0.250  0.01
K 0.375 0.550 0.750  0.01
K 0.875 0.700 0.750  0.01
Mo 0.000 0.000 0.000  1.66
Mo 0.750 0.250 0.500  1.66
Fe 0.500 0.500 0.000  2.03
Fe 0.250 0.750 0.500  2.02

Results
The calculation puts the formation energy at 6.0 eV/f.u. For the density, the calculation gives 2.17 g/cm3. The total magnetization is 4.460 μB/f.u. The value obtained for the density of states at the Fermi level is 1.13 states/eV/atom. Its excess energy over the best structure of this formula in the dataset is 0.644 eV/atom. The calculation puts the total DFT energy (no corrections) at -31.00 eV/cell.

***

[14]
BaCrN2 after structural relaxation. Source: Alexandria via LeMat-Bulk, functional PBE-GGA.

abc: 5.286 5.286 5.997
angles: 63.85 63.85 90.00
Positions (direct):
Cr 0.500 0.500 0.000
Cr 0.250 0.750 0.500
Ba 0.000 0.000 0.000
Ba 0.750 0.250 0.500
N 0.450 0.125 0.250
N 0.300 0.625 0.250
N 0.375 0.550 0.750
N 0.875 0.700 0.750

Results
For the density, the calculation gives 5.51 g/cm3. The total magnetization is 0.000 μB/f.u. The value obtained for the formation energy without anion corrections is -0.587 eV/atom. The value obtained for the density of states at the Fermi level is 0.70 states/eV/atom. The calculation puts the total DFT energy (no corrections) at -61.09 eV/cell.

***

[15]
ZnPb2Se after structural relaxation. Source: Alexandria via LeMat-Bulk, functional PBE-GGA.

abc: 4.022 4.022 8.242
angles: 75.09 75.09 60.33
Positions (direct):
Pb 0.998 0.998 0.000
Pb 0.502 0.502 0.500
Se 0.750 0.750 0.750
Zn 0.250 0.250 0.250

Results
For the density, the calculation gives 8.39 g/cm3. The total magnetization is 0.000 μB/f.u. The value obtained for the formation energy without anion corrections is -0.052 eV/atom. The value obtained for the density of states at the Fermi level is 0.59 states/eV/atom. Its excess energy over the best structure of this formula in the dataset is 0.101 eV/atom. The calculation puts the total DFT energy (no corrections) at -12.38 eV/cell.

***

[16]
HoPa2OsC4 after structural relaxation. Source: Alexandria via LeMat-Bulk, functional PBE-GGA.

abc: 3.538 6.129 12.032
angles: 90.00 90.00 106.78
Positions (direct):
Ho 0.119 0.237 0.750
Ho 0.881 0.763 0.250
Pa 0.367 0.733 0.542
Pa 0.633 0.267 0.042
Pa 0.633 0.267 0.458
Pa 0.367 0.733 0.958
Os 0.854 0.708 0.750
Os 0.146 0.292 0.250
C 0.265 0.529 0.129
C 0.735 0.471 0.629
C 0.735 0.471 0.871
C 0.265 0.529 0.371
C 0.000 0.000 0.500
C 0.000 0.000 0.000
C 0.437 0.874 0.750
C 0.563 0.126 0.250

Results
The calculation puts the formation energy at -1.0 eV/f.u. For the density, the calculation gives 11.50 g/cm3. The total magnetization is 0.000 μB/f.u. The value obtained for the density of states at the Fermi level is 0.61 states/eV/atom. The calculation puts the total DFT energy (no corrections) at -145.47 eV/cell.

***

[17]
PuFe2GeN after structural relaxation. Source: Alexandria via LeMat-Bulk, functional PBE-GGA.

abc: 3.506 5.775 7.194
angles: 90.00 90.00 107.67
Site moments in Bohr magnetons follow the coordinates.
Positions (direct):
Pu 0.466 0.932 0.750  4.84
Pu 0.534 0.068 0.250  4.84
Fe 0.166 0.333 0.949  1.78
Fe 0.834 0.667 0.051  1.78
Fe 0.166 0.333 0.551  1.78
Fe 0.834 0.667 0.449  1.78
Ge 0.738 0.475 0.750  -0.09
Ge 0.262 0.525 0.250  -0.09
N 0.000 0.000 0.000  -0.07
N 0.000 0.000 0.500  -0.07

Results
For the density, the calculation gives 10.58 g/cm3. The total magnetization is 8.385 μB/f.u. The value obtained for the formation energy without anion corrections is -0.508 eV/atom. The value obtained for the density of states at the Fermi level is 2.22 states/eV/atom. The calculation puts the total DFT energy (no corrections) at -93.48 eV/cell.

***

[18]
CsLiTlHg2 after structural relaxation. Source: Alexandria via LeMat-Bulk, functional PBE-GGA.

abc: 5.901 5.901 5.624
angles: 90.00 90.00 90.00
Positions (direct):
Cs 0.500 0.500 0.500
Tl 0.000 0.000 0.000
Hg 0.000 0.500 0.000
Hg 0.500 0.000 0.000
Li 0.000 0.000 0.500

Results
The calculation puts the formation energy at -0.4 eV/f.u. For the density, the calculation gives 6.32 g/cm3. The total magnetization is 0.000 μB/f.u. The value obtained for the density of states at the Fermi level is 0.30 states/eV/atom. Its excess energy over the best structure of this formula in the dataset is 0.050 eV/atom. The calculation puts the total DFT energy (no corrections) at -6.15 eV/cell.

***

[19]
Mg2UTl2Se6 after structural relaxation. Source: Alexandria via LeMat-Bulk, functional PBE-GGA.

abc: 6.833 6.833 8.183
angles: 98.07 98.07 120.16
Positions (direct):
Mg 0.330 0.670 0.500
Mg 0.670 0.330 0.500
U 0.000 0.000 0.500
Tl 0.834 0.166 0.000
Tl 0.166 0.834 0.000
Se 0.740 0.740 0.698
Se 0.068 0.392 0.698
Se 0.260 0.260 0.302
Se 0.392 0.068 0.698
Se 0.932 0.608 0.302
Se 0.608 0.932 0.302

Results
For the density, the calculation gives 6.12 g/cm3. The total magnetization is 0.000 μB/f.u. The value obtained for the formation energy without anion corrections is -0.923 eV/atom. The calculation puts the total DFT energy (no corrections) at -50.27 eV/cell.